The following is a GGA+U calculation of an optimized crystal structure of SmMnAs2O8, from the Alexandria database.

For the density of states at the Fermi level, the calculation gives 0.764 states/eV per atom. The total energy is -6.811 eV/atom.

Cell and atoms, written as POSCAR:
```
SmMnAs2O8
1.0
5.969 0.053 0.000
-2.600 5.373 0.000
-1.684 -2.713 5.043
O Sm As Mn
8 1 2 1
direct
0.325 0.510 0.185
0.490 0.675 0.815
0.325 0.140 0.815
0.392 0.071 0.321
0.860 0.675 0.185
0.750 0.071 0.679
0.929 0.608 0.679
0.929 0.250 0.321
0.000 0.000 0.000
0.500 0.500 0.000
0.750 0.250 0.500
0.250 0.750 0.500
```